Entry a
This record from Alexandria via LeMat-Bulk describes crystalline NbAl2V at its relaxed geometry. The functional is GGA-PBE.

```
4
Lattice="0.000 3.172 3.172 3.172 0.000 3.172 3.172 3.172 0.000" Properties=species:S:1:pos:R:3 pbc="T T T"
Nb 3.172 3.172 3.172
Al 1.586 1.586 1.586
Al 4.758 4.758 4.758
V 0.000 0.000 0.000
```

## Properties
- symmetry = No. 225



Entry b
This record from Alexandria via LeMat-Bulk describes crystalline NbAl2V at its relaxed geometry. The functional is GGA-PBE.

```
4
Lattice="2.850 0.000 0.000 1.425 2.468 0.000 1.425 0.823 9.158" Properties=species:S:1:pos:R:3 pbc="T T T"
Nb 2.850 1.645 4.579
Al 4.274 2.468 6.978
Al 1.425 0.823 2.180
V 0.000 0.000 0.000
```

## Properties
- symmetry = No. 166



Entry c
This record from Alexandria via LeMat-Bulk describes crystalline NbAl2V at its relaxed geometry. The functional is GGA-PBE.

```
8
Lattice="-4.159 -1.400 2.335 1.293 -1.566 -5.097 2.612 -4.400 2.014" Properties=species:S:1:pos:R:3 pbc="T T T"
Nb 0.976 -1.492 -0.770
Nb -1.230 -5.875 0.023
Al 1.502 -6.275 -0.641
Al 0.196 -4.075 -1.648
Al -1.756 -1.092 -0.106
Al -0.451 -3.291 0.900
V -2.536 -3.675 -0.984
V 2.282 -3.692 0.236
```

## Properties
- symmetry = No. 69



Entry d
This record from Alexandria via LeMat-Bulk describes crystalline NbAl2V at its relaxed geometry. The functional is GGA-PBE.

```
4
Lattice="2.768 0.000 0.000 0.000 2.768 0.000 0.000 0.000 8.180" Properties=species:S:1:pos:R:3 pbc="T T T"
Nb 1.384 1.384 4.090
Al 0.000 0.000 6.243
Al 0.000 0.000 1.937
V 1.384 1.384 0.000
```

## Properties
- symmetry = No. 123



Here are the energies relative to the best structure, in eV/atom: entry a 0.214; entry b 0.202; entry c 0.000; entry d 0.024.



Entry a
This record from Alexandria via LeMat-Bulk describes crystalline NbAl2V at its relaxed geometry. The functional is GGA-PBE.

```
4
Lattice="-2.373 1.894 -2.809 -1.663 -3.398 -0.887 -2.714 0.620 2.711" Properties=species:S:1:pos:R:3 pbc="T T T"
Nb -1.187 0.947 -1.404
Al -1.357 0.310 1.356
Al -0.831 -1.699 -0.444
V -3.375 -0.442 -0.492
```

## Properties
- symmetry = No. 123



Entry b
This record from Alexandria via LeMat-Bulk describes crystalline NbAl2V at its relaxed geometry. The functional is GGA-PBE.

```
8
Lattice="7.043 0.000 0.000 0.000 7.043 0.000 3.522 3.522 2.698" Properties=species:S:1:pos:R:3 pbc="T T T"
Nb 0.000 0.000 0.000
Nb 7.043 3.522 1.349
Al 5.183 1.761 0.674
Al 1.861 5.282 0.674
Al 5.282 5.382 2.023
Al 8.804 8.704 2.023
V 3.522 3.522 0.000
V 3.522 7.043 1.349
```

## Properties
- symmetry = No. 122



Here are the energies relative to the best structure, in eV/atom: entry a 0.000; entry b 0.466.